The following is a DFT calculation (GGA+U) of an optimized crystal structure of KFeF2.

Results
Offset from the most stable computed form: 0 meV/atom

Lattice parameters (Å, degrees): 5.515 5.515 11.209 90.00 90.00 90.00
Positions (direct):
K: 0.000 0.000 0.000
K: 0.000 0.500 0.250
K: 0.500 0.000 0.750
K: 0.500 0.500 0.500
Fe: 0.000 0.000 0.500
Fe: 0.000 0.500 0.750
Fe: 0.500 0.000 0.250
Fe: 0.500 0.500 0.000
F: 0.151 0.250 0.625
F: 0.250 0.651 0.875
F: 0.250 0.849 0.375
F: 0.349 0.250 0.125
F: 0.651 0.750 0.125
F: 0.750 0.151 0.375
F: 0.750 0.349 0.875
F: 0.849 0.750 0.625